[1]
{
  "formula": "Rb2PdSe2",
  "functional": "PBEsol",
  "state": "optimized geometry",
  "final_energy_ev_per_atom": -4.02,
  "volume_a3_per_cell": 142.9,
  "lattice_angstrom": [[-1.8951, 3.7434, 5.0357], [1.8951, -3.7434, 5.0357], [1.8951, 3.7434, -5.0357]],
  "species": ["Rb", "Rb", "Pd", "Se", "Se"],
  "fractional_positions": [[0.1948, 0.1948, 0.0000], [0.8052, 0.8052, 0.0000], [0.5000, 0.0000, 0.5000], [0.2864, 0.5000, 0.7864], [0.7136, 0.5000, 0.2136]]
}


[2]
{
  "formula": "CaAg2Pb",
  "functional": "PBEsol",
  "state": "optimized geometry",
  "final_energy_ev_per_atom": -3.37,
  "volume_a3_per_cell": 88.9,
  "lattice_angstrom": [[4.6231, 0.0000, 0.0000], [0.0000, 4.6231, 0.0000], [0.0000, 0.0000, 4.1598]],
  "species": ["Ca", "Ag", "Ag", "Pb"],
  "fractional_positions": [[0.0000, 0.0000, 0.0000], [0.0000, 0.5000, 0.5000], [0.5000, 0.0000, 0.5000], [0.5000, 0.5000, 0.0000]]
}


[3]
{
  "formula": "CaMgHg",
  "functional": "PBEsol",
  "state": "optimized geometry",
  "final_energy_ev_per_atom": -1.86,
  "volume_a3_per_cell": 76.6,
  "lattice_angstrom": [[4.8957, 0.0000, 0.0000], [-2.4479, 4.2398, 0.0000], [0.0000, 0.0000, 3.6909]],
  "species": ["Ca", "Mg", "Hg"],
  "fractional_positions": [[0.0000, 0.0000, 0.0000], [0.6667, 0.3333, 0.5000], [0.3333, 0.6667, 0.5000]]
}


[4]
{
  "formula": "LaY2Co2",
  "functional": "PBEsol",
  "state": "optimized geometry",
  "final_energy_ev_per_atom": -6.96,
  "volume_a3_per_cell": 211.6,
  "lattice_angstrom": [[6.8663, 0.0000, 0.0000], [0.0000, 6.8663, 0.0000], [0.0000, 0.0000, 4.4880]],
  "species": ["La", "La", "Y", "Y", "Y", "Y", "Co", "Co", "Co", "Co"],
  "fractional_positions": [[0.0000, 0.0000, 0.0000], [0.5000, 0.5000, 0.0000], [0.1680, 0.3320, 0.5000], [0.3320, 0.8320, 0.5000], [0.6680, 0.1680, 0.5000], [0.8320, 0.6680, 0.5000], [0.1136, 0.6136, 0.0000], [0.3864, 0.1136, 0.0000], [0.6136, 0.8864, 0.0000], [0.8864, 0.3864, 0.0000]]
}


[5]
{
  "formula": "HfZr3H",
  "functional": "PBEsol",
  "state": "optimized geometry",
  "e_above_lowest_polymorph_kj_per_mol_atoms": 181.1,
  "final_energy_ev_per_atom": -6.45,
  "volume_a3_per_cell": 133.3,
  "lattice_angstrom": [[5.1089, 0.0000, 0.0000], [0.0000, 5.1089, 0.0000], [0.0000, 0.0000, 5.1089]],
  "species": ["Hf", "Zr", "Zr", "Zr", "H"],
  "fractional_positions": [[0.0000, 0.0000, 0.0000], [0.0000, 0.0000, 0.5000], [0.0000, 0.5000, 0.0000], [0.5000, 0.0000, 0.0000], [0.5000, 0.5000, 0.5000]]
}


[6]
{
  "formula": "MoIr2IN",
  "functional": "PBEsol",
  "state": "optimized geometry",
  "final_energy_ev_per_atom": -7.48,
  "volume_a3_per_cell": 73.5,
  "lattice_angstrom": [[4.1951, 0.0000, 0.0000], [0.0000, 4.1951, 0.0000], [0.0000, 0.0000, 4.1745]],
  "species": ["Mo", "Ir", "Ir", "I", "N"],
  "fractional_positions": [[0.0000, 0.0000, 0.0000], [0.0000, 0.5000, 0.5000], [0.5000, 0.0000, 0.5000], [0.5000, 0.5000, 0.0000], [0.0000, 0.0000, 0.5000]]
}


[7]
{
  "formula": "Li4Mn5Sn3O16",
  "functional": "PBEsol",
  "state": "optimized geometry",
  "final_energy_ev_per_atom": -7.19,
  "volume_a3_per_cell": 299.2,
  "lattice_angstrom": [[5.1564, -3.0238, 0.0000], [5.1564, 3.0238, 0.0000], [-0.0909, 0.0000, 9.5946]],
  "species": ["Li", "Li", "Li", "Li", "Mn", "Mn", "Mn", "Mn", "Mn", "Sn", "Sn", "Sn", "O", "O", "O", "O", "O", "O", "O", "O", "O", "O", "O", "O", "O", "O", "O", "O"],
  "fractional_positions": [[0.0000, 0.0000, 0.0000], [0.0019, 0.0019, 0.4912], [0.3053, 0.3053, 0.1087], [0.6367, 0.6367, 0.5950], [0.1418, 0.1418, 0.7732], [0.3094, 0.3094, 0.4976], [0.3216, 0.8087, 0.2770], [0.6348, 0.6348, 0.0049], [0.8087, 0.3216, 0.2770], [0.1400, 0.6348, 0.7796], [0.6348, 0.1400, 0.7796], [0.8128, 0.8128, 0.2793], [0.0073, 0.4441, 0.6517], [0.1547, 0.1547, 0.3830], [0.1562, 0.6669, 0.3910], [0.3005, 0.3005, 0.8948], [0.3050, 0.8238, 0.8881], [0.4441, 0.0073, 0.6517], [0.4542, 0.4542, 0.6469], [0.4865, 0.9379, 0.1563], [0.4971, 0.4971, 0.1569], [0.6383, 0.6383, 0.3862], [0.6669, 0.1562, 0.3910], [0.8177, 0.8177, 0.9040], [0.8238, 0.3050, 0.8881], [0.9379, 0.4865, 0.1563], [0.9779, 0.9779, 0.6742], [0.9932, 0.9932, 0.1846]]
}


[8]
{
  "formula": "CsCdBO3",
  "functional": "PBEsol",
  "state": "optimized geometry",
  "final_energy_ev_per_atom": -6.01,
  "volume_a3_per_cell": 420.2,
  "lattice_angstrom": [[7.4903, 0.0000, 0.0000], [0.0000, 7.4903, 0.0000], [0.0000, 0.0000, 7.4903]],
  "species": ["Cs", "Cs", "Cs", "Cs", "Cd", "Cd", "Cd", "Cd", "B", "B", "B", "B", "O", "O", "O", "O", "O", "O", "O", "O", "O", "O", "O", "O"],
  "fractional_positions": [[0.1373, 0.3627, 0.6373], [0.3627, 0.6373, 0.1373], [0.6373, 0.1373, 0.3627], [0.8627, 0.8627, 0.8627], [0.1466, 0.1466, 0.1466], [0.3534, 0.8534, 0.6466], [0.6466, 0.3534, 0.8534], [0.8534, 0.6466, 0.3534], [0.0954, 0.9046, 0.4046], [0.4046, 0.0954, 0.9046], [0.5954, 0.5954, 0.5954], [0.9046, 0.4046, 0.0954], [0.0280, 0.4157, 0.2335], [0.0843, 0.7665, 0.5280], [0.2335, 0.0280, 0.4157], [0.2665, 0.9720, 0.9157], [0.4157, 0.2335, 0.0280], [0.4720, 0.5843, 0.7335], [0.5280, 0.0843, 0.7665], [0.5843, 0.7335, 0.4720], [0.7335, 0.4720, 0.5843], [0.7665, 0.5280, 0.0843], [0.9157, 0.2665, 0.9720], [0.9720, 0.9157, 0.2665]]
}


Repeat the third record exactly.
{
  "formula": "CaMgHg",
  "functional": "PBEsol",
  "state": "optimized geometry",
  "final_energy_ev_per_atom": -1.86,
  "volume_a3_per_cell": 76.6,
  "lattice_angstrom": [[4.8957, 0.0000, 0.0000], [-2.4479, 4.2398, 0.0000], [0.0000, 0.0000, 3.6909]],
  "species": ["Ca", "Mg", "Hg"],
  "fractional_positions": [[0.0000, 0.0000, 0.0000], [0.6667, 0.3333, 0.5000], [0.3333, 0.6667, 0.5000]]
}